(1)
## GePt3Pb (GGA-PBE)

Data for an optimized crystal structure of GePt3Pb.

```
GePt3Pb
1.0
5.710 0.000 0.000
-2.855 4.945 0.000
0.000 0.000 7.458
Ge Pt Pb
2 6 2
direct
0.000 0.000 0.000 Ge
0.000 0.000 0.500 Ge
0.174 0.347 0.250 Pt
0.174 0.826 0.250 Pt
0.347 0.174 0.750 Pt
0.653 0.826 0.250 Pt
0.826 0.174 0.750 Pt
0.826 0.653 0.750 Pt
0.333 0.667 0.749 Pb
0.667 0.333 0.251 Pb
```

Values from the calculation:
Energy above the lowest structure with this stoichiometry = 0 meV per atom
D(E_F) = 0.62 states/eV per atom

(2)
## GePt3Pb (GGA-PBE)

Data for an optimized crystal structure of GePt3Pb.

```
GePt3Pb
1.0
5.063 0.000 0.000
0.000 5.063 0.000
0.000 0.000 5.063
Ge Pt Pb
1 3 1
direct
0.000 0.000 0.000 Ge
0.000 0.500 0.500 Pt
0.500 0.000 0.500 Pt
0.500 0.500 0.000 Pt
0.500 0.500 0.500 Pb
```

Values from the calculation:
Energy above the lowest structure with this stoichiometry = 1286 meV per atom
D(E_F) = 0.41 states/eV per atom

(3)
## GePtPb2 (GGA-PBE)

Data for an optimized crystal structure of GePtPb2.

```
GePtPb2
1.0
3.759 -2.172 0.000
3.759 2.172 0.000
-2.516 0.000 6.526
Ge Pt Pb
1 1 2
direct
0.000 0.000 0.000 Ge
0.667 0.667 0.002 Pt
0.239 0.239 0.717 Pb
0.429 0.429 0.286 Pb
```

Values from the calculation:
D(E_F) = 0.19 states/eV per atom
Electronic total energy = -18.86 eV for the cell shown

(4)
## Ge2PtPbS (GGA-PBE)

Data for an optimized crystal structure of Ge2PtPbS.

```
Ge2PtPbS
1.0
4.737 0.000 0.000
0.000 4.737 0.000
0.000 0.000 5.429
Ge Pt Pb S
2 1 1 1
direct
0.000 0.500 0.000 Ge
0.500 0.000 0.000 Ge
0.000 0.000 0.500 Pt
0.500 0.500 0.500 Pb
0.500 0.500 0.000 S
```

Values from the calculation:
D(E_F) = 0.58 states/eV per atom
Uncorrected formation energy = 3.27 eV/f.u.